No. 1
Below is a geometry-optimized La4Nd2SmEr structure, with properties calculated at the PBE level.

Output
Its space group is No. 10. As for the volume: 282.3 Å³/cell. Its total magnetic moment is 0.000 μB per atom. The calculation puts the energy of formation from the pure elements at 14 meV per atom.

abc: 5.228 5.262 10.262
angles: 90.00 90.05 90.00
Element x y z (fractional)
La: 0.000 0.000 0.248
La: 0.000 0.000 0.752
La: 0.499 0.500 0.751
La: 0.501 0.500 0.249
Nd: 0.000 0.500 0.000
Nd: 0.500 0.000 0.500
Sm: 0.000 0.500 0.500
Er: 0.500 0.000 0.000

No. 2
Below is a geometry-optimized La2NdSm5Er structure, with properties calculated at the PBE level.

Output
Its space group is No. 140. As for the volume: 621.6 Å³/cell. Its total magnetic moment is 0.000 μB per atom. The calculation puts the energy of formation from the pure elements at 252 meV per atom.

abc: 10.214 10.214 10.214
angles: 129.32 129.32 74.50
Element x y z (fractional)
La: 0.119 0.619 0.738
La: 0.381 0.119 0.500
La: 0.619 0.881 0.500
La: 0.881 0.381 0.262
Nd: 0.250 0.250 0.000
Nd: 0.750 0.750 0.000
Sm: 0.000 0.000 0.000
Sm: 0.076 0.140 0.500
Sm: 0.140 0.640 0.064
Sm: 0.360 0.424 0.500
Sm: 0.424 0.924 0.064
Sm: 0.500 0.500 0.000
Sm: 0.576 0.076 0.936
Sm: 0.640 0.576 0.500
Sm: 0.860 0.360 0.936
Sm: 0.924 0.860 0.500
Er: 0.250 0.750 0.500
Er: 0.750 0.250 0.500

No. 3
Below is a geometry-optimized La2NdSmEr2 structure, with properties calculated at the PBE level.

Output
Its space group is No. 26. As for the volume: 410.6 Å³/cell. Its total magnetic moment is 0.000 μB per atom. The calculation puts the energy of formation from the pure elements at 71 meV per atom.

abc: 5.683 10.387 6.956
angles: 90.00 90.00 90.00
Element x y z (fractional)
La: 0.000 0.025 0.000
La: 0.000 0.975 0.500
La: 0.500 0.200 0.269
La: 0.500 0.800 0.769
Nd: 0.000 0.307 0.638
Nd: 0.000 0.693 0.138
Sm: 0.500 0.472 0.898
Sm: 0.500 0.528 0.398
Er: 0.000 0.373 0.146
Er: 0.000 0.627 0.646
Er: 0.500 0.131 0.758
Er: 0.500 0.869 0.258

No. 4
Below is a geometry-optimized LaNd2Sm2Er structure, with properties calculated at the PBE level.

Output
Its space group is No. 51. As for the volume: 409.4 Å³/cell. Its total magnetic moment is 0.000 μB per atom. The calculation puts the energy of formation from the pure elements at 59 meV per atom.

abc: 7.111 5.766 9.986
angles: 90.00 90.00 90.00
Element x y z (fractional)
La: 0.250 0.000 0.156
La: 0.750 0.000 0.844
Nd: 0.000 0.000 0.500
Nd: 0.250 0.500 0.676
Nd: 0.500 0.000 0.500
Nd: 0.750 0.500 0.324
Sm: 0.250 0.000 0.828
Sm: 0.250 0.500 0.337
Sm: 0.750 0.000 0.172
Sm: 0.750 0.500 0.663
Er: 0.000 0.500 0.000
Er: 0.500 0.500 0.000

No. 5
Below is a geometry-optimized LaNd5Sm2Er structure, with properties calculated at the PBE level.

Output
Its space group is No. 140. As for the volume: 634.2 Å³/cell. Its total magnetic moment is 0.000 μB per atom. The calculation puts the energy of formation from the pure elements at 274 meV per atom.

abc: 10.076 10.076 10.076
angles: 126.84 126.84 78.50
Element x y z (fractional)
La: 0.250 0.250 0.000
La: 0.750 0.750 0.000
Nd: 0.000 0.000 0.000
Nd: 0.070 0.570 0.913
Nd: 0.157 0.070 0.500
Nd: 0.343 0.843 0.913
Nd: 0.430 0.343 0.500
Nd: 0.500 0.500 0.000
Nd: 0.570 0.657 0.500
Nd: 0.657 0.157 0.087
Nd: 0.843 0.930 0.500
Nd: 0.930 0.430 0.087
Sm: 0.115 0.385 0.500
Sm: 0.385 0.885 0.269
Sm: 0.615 0.115 0.731
Sm: 0.885 0.615 0.500
Er: 0.250 0.750 0.500
Er: 0.750 0.250 0.500

No. 6
Below is a geometry-optimized LaNdSm2Er2 structure, with properties calculated at the PBE level.

Output
Its space group is No. 58. As for the volume: 412.1 Å³/cell. Its total magnetic moment is 0.000 μB per atom. The calculation puts the energy of formation from the pure elements at 265 meV per atom.

abc: 6.581 18.284 3.424
angles: 90.00 90.00 90.00
Element x y z (fractional)
La: 0.000 0.000 0.000
La: 0.500 0.500 0.500
Nd: 0.000 0.500 0.000
Nd: 0.500 0.000 0.500
Sm: 0.216 0.190 0.000
Sm: 0.284 0.690 0.500
Sm: 0.716 0.310 0.500
Sm: 0.784 0.810 0.000
Er: 0.215 0.352 0.500
Er: 0.285 0.852 0.000
Er: 0.715 0.148 0.000
Er: 0.785 0.648 0.500

Q: Number 6 is which compound?
A: LaNdSm2Er2